Compound: AlW2Br
Source: Alexandria via LeMat-Bulk
Functional: PBE-GGA
Structure: relaxed

Computed properties:
N(E_F), states/eV per cell: 2.0
Uncorrected formation energy, kJ/mol of formula units: 265
Distance to the lowest polymorph of the same formula, meV per atom: 309
Magnetic moment, Bohr magnetons per cell: 0.0
Calculated volume, Å³/atom: 17.25

Unit cell a=4.5349 b=2.8820 c=5.3156 alpha=83.38 beta=90.00 gamma=90.00
Positions (direct):
W 0.0000 0.8973 0.0199
W 0.5000 0.1378 0.2478
Br 0.5000 0.9628 0.7343
Al 0.0000 0.5020 0.4979

---

Compound: Al2WBr
Source: Alexandria via LeMat-Bulk
Functional: PBE-GGA
Structure: relaxed

Computed properties:
N(E_F), states/eV per cell: 2.8
Uncorrected formation energy, kJ/mol of formula units: 71
Distance to the lowest polymorph of the same formula, meV per atom: 101
Magnetic moment, Bohr magnetons per cell: 0.0
Calculated volume, Å³/atom: 17.82

Unit cell a=8.4994 b=8.4994 c=8.4994 alpha=21.35 beta=21.35 gamma=21.35
Positions (direct):
Al 0.4950 0.4950 0.4950
Al 0.0050 0.0050 0.0050
Br 0.2500 0.2500 0.2500
W 0.7500 0.7500 0.7500

---

Compound: Al2WBr
Source: Alexandria via LeMat-Bulk
Functional: PBE-GGA
Structure: relaxed

Computed properties:
N(E_F), states/eV per cell: 5.3
Uncorrected formation energy, kJ/mol of formula units: 346
Distance to the lowest polymorph of the same formula, meV per atom: 814
Magnetic moment, Bohr magnetons per cell: 0.8
Calculated volume, Å³/atom: 17.40

Unit cell a=4.6175 b=4.6175 c=4.6175 alpha=60.00 beta=60.00 gamma=60.00
Last column: magnetic moment on the atom in μB.
Positions (direct):
W 0.7500 0.7500 0.7500  0.60
Al 0.0000 0.0000 0.0000  0.01
Al 0.2500 0.2500 0.2500  -0.01
Br 0.5000 0.5000 0.5000  0.00

---

Compound: AlWBr2
Source: Alexandria via LeMat-Bulk
Functional: PBE-GGA
Structure: relaxed

Computed properties:
N(E_F), states/eV per cell: 3.9
Uncorrected formation energy, kJ/mol of formula units: 419
Distance to the lowest polymorph of the same formula, meV per atom: 1116
Magnetic moment, Bohr magnetons per cell: 0.0
Calculated volume, Å³/atom: 19.22

Unit cell a=5.0165 b=5.0165 c=3.0835 alpha=90.00 beta=90.00 gamma=97.78
Positions (direct):
Br 0.0000 0.0000 0.0000
Br 0.5000 0.5000 0.0000
Al 0.0000 0.5000 0.5000
W 0.5000 0.0000 0.5000

---

Compound: Al2WBr
Source: Alexandria via LeMat-Bulk
Functional: PBE-GGA
Structure: relaxed

Computed properties:
N(E_F), states/eV per cell: 2.6
Uncorrected formation energy, kJ/mol of formula units: 184
Distance to the lowest polymorph of the same formula, meV per atom: 395
Magnetic moment, Bohr magnetons per cell: 0.0
Calculated volume, Å³/atom: 19.79

Unit cell a=3.0283 b=3.0283 c=10.1085 alpha=90.00 beta=90.00 gamma=121.34
Positions (direct):
Br 0.0000 0.0000 0.5477
Al 0.5000 0.5000 0.2144
Al 0.0000 0.0000 0.9804
W 0.5000 0.5000 0.7576

---

Compound: AlWBr2
Source: Alexandria via LeMat-Bulk
Functional: PBE-GGA
Structure: relaxed

Computed properties:
N(E_F), states/eV per cell: 1.9
Uncorrected formation energy, kJ/mol of formula units: 197
Distance to the lowest polymorph of the same formula, meV per atom: 539
Magnetic moment, Bohr magnetons per cell: 0.0
Calculated volume, Å³/atom: 24.11

Unit cell a=11.0722 b=11.0722 c=11.0722 alpha=16.58 beta=16.58 gamma=16.58
Positions (direct):
Al 0.0000 0.0000 0.0000
Br 0.1090 0.1090 0.1090
Br 0.8910 0.8910 0.8910
W 0.5000 0.5000 0.5000

---

Question: Which value of magnetic moment does entry 2 give?
Answer: 0.0 Bohr magnetons per cell

---

Question: Which formula does entry 6 have?
Answer: AlWBr2

---

Question: The highest magnetic moment belongs to which entry?
Answer: number 3